# BaTeSe2Br

BaTeSe2Br at its PBEsol-relaxed geometry (SCAN, Alexandria).

Unit cell a=5.4244 b=5.4244 c=5.4747 alpha=90.00 beta=90.00 gamma=90.00
With the nearest neighbours (Å) after each atom.
Space group P4/mmm (No. 123)
Asymmetric unit:
1 Ba 0.0000 0.0000 0.0000 x1  4 Br 3.84, 8 Se 3.85
2 Te 0.5000 0.5000 0.5000 x1  4 Se 2.71, 2 Br 2.74
3 Se 0.0000 0.5000 0.5000 x2  2 Te 2.71
4 Br 0.5000 0.5000 0.0000 x1  2 Te 2.74

DFT total energy	-28.254	eV/atom
magnetic moment	0.0	μB/f.u.
crystal system	tetragonal
uncorrected formation energy	-971	meV per atom

***

# Tm2Ti2O7

Tm2Ti2O7 at its PBEsol-relaxed geometry (SCAN, Alexandria).

Unit cell a=9.9710 b=9.9710 c=9.9710 alpha=90.00 beta=90.00 gamma=90.00
With the nearest neighbours (Å) after each atom.
Space group Fd-3m (No. 227, origin choice 2)
Asymmetric unit:
1 Tm 0.0000 0.0000 0.0000 x16  2 O 2.16
2 Ti 0.0000 0.0000 0.5000 x16  6 O 1.95
3 O 0.0833 0.3750 0.8750 x48  2 Ti 1.95
4 O 0.1250 0.1250 0.1250 x8  4 Tm 2.16

DFT total energy	-19.989	eV/atom
magnetic moment	0.0	μB/f.u.
crystal system	cubic
uncorrected formation energy	-3685	meV per atom